Record 1
Computed, not measured: a relaxed structure of Ag2PbAu2 at the PBEsol level of DFT.

Computed properties:
DOS at the Fermi energy: 3.77 states/eV/cell
E above lowest polymorph: 53 meV/atom
volume: 204.8 Å³/cell
energy: -3.6340 eV/atom
energy relative to the elements: 60 meV/atom

Cell lengths 3.9101, 3.9101, 13.3967 Å; angles 90.00, 90.00, 90.00 degrees
Closest atoms and distances in Å follow each position.
Space group I4/mmm (No. 139)
One atom of each set of equivalent atoms:
Ag (0.0000, 0.5000, 0.2500)  4 Ag 2.76, 4 Au 2.78
Pb (0.0000, 0.0000, 0.0000)  8 Au 3.08
Au (0.0000, 0.0000, 0.3979)  1 Au 2.74, 4 Ag 2.78


Record 2
Computed, not measured: a relaxed structure of Ag2PbAu at the PBEsol level of DFT.

Computed properties:
DOS at the Fermi energy: 0.97 states/eV/cell
volume: 78.1 Å³/cell
energy: -3.6029 eV/atom
energy relative to the elements: 33 meV/atom

Cell lengths 3.3273, 3.5822, 6.5492 Å; angles 90.00, 90.00, 90.00 degrees
Closest atoms and distances in Å follow each position.
Space group Pmm2 (No. 25)
One atom of each set of equivalent atoms:
Ag (0.0000, 0.0000, 0.0000)  4 Ag 2.83, 1 Au 2.86, 4 Pb 3.09
Ag (0.5000, 0.5000, 0.2165)  4 Ag 2.83, 4 Au 2.84
Pb (0.5000, 0.5000, 0.7121)  4 Au 3.04, 6 Ag 3.09-3.30, 2 Pb 3.33
Au (0.0000, 0.0000, 0.4360)  5 Ag 2.84-2.86, 4 Pb 3.04


Record 3
Computed, not measured: a relaxed structure of Ag2PbAu2 at the PBEsol level of DFT.

Computed properties:
DOS at the Fermi energy: 2.86 states/eV/cell
E above lowest polymorph: 0 meV/atom
volume: 192.7 Å³/cell
energy: -3.6866 eV/atom
energy relative to the elements: 7 meV/atom

Cell lengths 7.8075, 7.8075, 3.1612 Å; angles 90.00, 90.00, 90.00 degrees
Closest atoms and distances in Å follow each position.
Space group P4/mbm (No. 127)
One atom of each set of equivalent atoms:
Ag (0.1661, 0.3339, 0.0000)  6 Au 2.76-2.81
Pb (0.0000, 0.0000, 0.5000)  4 Au 3.06, 2 Pb 3.16, 8 Ag 3.31
Au (0.1295, 0.6295, 0.5000)  6 Ag 2.76-2.81, 1 Au 2.86, 2 Pb 3.06